VASP calculation (GGA+U) on a geometry-optimized ReNiOF2 structure.

The energy above the lowest structure with this stoichiometry is 22.7 kJ/mol of atoms. The value obtained for the density is 7.9 Mg/m³.

The structure belongs to space group P4/mmm (No. 123); the cell edges are 3.837, 3.837 and 4.254 Å and the angles 90.00°, 90.00° and 90.00°. Symmetry generates all atoms from Re at (0.000, 0.000, 0.000), Ni at (0.500, 0.500, 0.500), O at (0.500, 0.500, 0.000) and F at (0.000, 0.500, 0.500).